Entry from Alexandria: crystalline CaZrBi2F at its relaxed geometry (PBEsol).

Space-group type = P4/mmm, No. 123
Raw formation energy = -864 meV per atom
DOS at the Fermi energy = 3.81 states/eV/cell

Cell: 4.1815 5.3159 5.3159 Å, 90.00 90.00 90.00°
Closest atoms and distances in Å follow each position.
Element x y z (fractional)
Ca (0.5000, 0.0000, 0.0000)  2 F 2.09
Bi (0.0000, 0.0000, 0.5000)  2 F 2.66
Bi (0.0000, 0.5000, 0.0000)  2 F 2.66
Zr (0.5000, 0.5000, 0.5000)  8 Bi 3.38, 4 Ca 3.76
F (0.0000, 0.0000, 0.0000)  2 Ca 2.09

Entry from Alexandria: crystalline CaFeHg2Bi at its relaxed geometry (PBEsol).

Space-group type = P4/mmm, No. 123
ΔE_f = 0.9362 eV/atom
DOS at the Fermi energy = 8.28 states/eV/cell

Cell: 5.6153 5.6153 5.9971 Å, 90.00 90.00 90.00°
Closest atoms and distances in Å follow each position.
Element x y z (fractional)
Fe (0.5000, 0.5000, 0.5000)  4 Ca 3.97, 8 Hg 4.11
Ca (0.0000, 0.0000, 0.5000)  2 Bi 3.00
Bi (0.0000, 0.0000, 0.0000)  4 Hg 2.81, 2 Ca 3.00
Hg (0.0000, 0.5000, 0.0000)  2 Bi 2.81
Hg (0.5000, 0.0000, 0.0000)  2 Bi 2.81

Entry from Alexandria: crystalline NaCaFe2Bi at its relaxed geometry (PBEsol).

Space-group type = P4/mmm, No. 123
ΔE_f = 0.9827 eV/atom
DOS at the Fermi energy = 9.53 states/eV/cell

Cell: 5.0054 5.0054 5.8514 Å, 90.00 90.00 90.00°
Closest atoms and distances in Å follow each position.
Element x y z (fractional)
Na (0.5000, 0.5000, 0.5000)  4 Ca 3.54, 8 Fe 3.85
Ca (0.0000, 0.0000, 0.5000)  2 Bi 2.93
Bi (0.0000, 0.0000, 0.0000)  4 Fe 2.50
Fe (0.0000, 0.5000, 0.0000)  2 Bi 2.50
Fe (0.5000, 0.0000, 0.0000)  2 Bi 2.50

Entry from Alexandria: crystalline CaFeBi2O at its relaxed geometry (PBEsol).

Space-group type = P4/mmm, No. 123
Raw formation energy = 538 meV per atom
DOS at the Fermi energy = 6.82 states/eV/cell

Cell: 3.9284 5.8879 5.8879 Å, 90.00 90.00 90.00°
Closest atoms and distances in Å follow each position.
Element x y z (fractional)
Ca (0.0000, 0.0000, 0.0000)  2 O 1.96
Bi (0.0000, 0.0000, 0.5000)  2 Ca 2.94
Bi (0.0000, 0.5000, 0.0000)  2 Ca 2.94
O (0.5000, 0.0000, 0.0000)  2 Ca 1.96
Fe (0.5000, 0.5000, 0.5000)  8 Bi 3.54, 2 Fe 3.93

Entry from Alexandria: crystalline Ca2Ge2Bi at its relaxed geometry (PBEsol).

Space-group type = P4/mbm, No. 127
ΔE_f = -0.6272 eV/atom
DOS at the Fermi energy = 2.67 states/eV/cell

Cell: 4.3469 7.5880 7.5880 Å, 90.00 90.00 90.00°
Closest atoms and distances in Å follow each position.
Element x y z (fractional)
Ge (0.0000, 0.3836, 0.8836)  1 Ge 2.50
Ge (0.0000, 0.8836, 0.6164)  1 Ge 2.50
Ge (0.0000, 0.6164, 0.1164)  1 Ge 2.50
Ge (0.0000, 0.1164, 0.3836)  1 Ge 2.50
Ca (0.5000, 0.1769, 0.6769)  6 Ge 3.11-3.14
Ca (0.5000, 0.6769, 0.8231)  6 Ge 3.11-3.14
Ca (0.5000, 0.8231, 0.3231)  6 Ge 3.11-3.14
Ca (0.5000, 0.3231, 0.1769)  6 Ge 3.11-3.14
Bi (0.0000, 0.0000, 0.0000)  4 Ge 3.04
Bi (0.0000, 0.5000, 0.5000)  4 Ge 3.04

Entry from Alexandria: crystalline Ca2BiH2 at its relaxed geometry (PBEsol).

Energy above the most stable polymorph in this dataset = 0.404 eV/atom
Space-group type = P4/mbm, No. 127
DOS at the Fermi energy = 2.48 states/eV/cell

Cell: 3.2526 7.6169 7.6169 Å, 90.00 90.00 90.00°
Closest atoms and distances in Å follow each position.
Element x y z (fractional)
H (0.0000, 0.4050, 0.9050)  1 H 2.05
H (0.0000, 0.9050, 0.5950)  1 H 2.05
H (0.0000, 0.5950, 0.0950)  1 H 2.05
H (0.0000, 0.0950, 0.4050)  1 H 2.05
Ca (0.5000, 0.1455, 0.6455)  4 H 2.48
Ca (0.5000, 0.6455, 0.8545)  4 H 2.48
Ca (0.5000, 0.8545, 0.3545)  4 H 2.48
Ca (0.5000, 0.3545, 0.1455)  4 H 2.48
Bi (0.0000, 0.0000, 0.0000)  4 H 3.17, 2 Bi 3.25, 8 Ca 3.34
Bi (0.0000, 0.5000, 0.5000)  4 H 3.17, 2 Bi 3.25, 8 Ca 3.34

Entry from Alexandria: crystalline Ca2BiH2 at its relaxed geometry (PBEsol).

Energy above the most stable polymorph in this dataset = 0.000 eV/atom
Space-group type = I4/mmm, No. 139
DOS at the Fermi energy = 0.48 states/eV/cell

Cell: 3.7984 3.7984 7.0770 Å, 105.57 105.57 90.00°
Closest atoms and distances in Å follow each position.
Element x y z (fractional)
H (0.2500, 0.7500, 0.5000)  4 Ca 2.26
H (0.7500, 0.2500, 0.5000)  4 Ca 2.26
Ca (0.3439, 0.3439, 0.6877)  4 H 2.26
Ca (0.6561, 0.6561, 0.3123)  4 H 2.26
Bi (0.0000, 0.0000, 0.0000)  8 Ca 3.38

Entry from Alexandria: crystalline LiCaBiH2 at its relaxed geometry (PBEsol).

Space-group type = P4/mmm, No. 123
Total DFT energy (no corrections) = -2.724 eV per atom
DOS at the Fermi energy = 1.96 states/eV/cell

Cell: 4.3519 4.3519 5.3772 Å, 90.00 90.00 90.00°
Closest atoms and distances in Å follow each position.
Element x y z (fractional)
H (0.0000, 0.5000, 0.0000)  2 Bi 2.18
H (0.5000, 0.0000, 0.0000)  2 Bi 2.18
Ca (0.5000, 0.5000, 0.5000)  4 Li 3.08
Bi (0.0000, 0.0000, 0.0000)  4 H 2.18
Li (0.0000, 0.0000, 0.5000)  2 Bi 2.69